A PBEsol-optimized structure of Sc2CO, computed with SCAN.

Energy relative to the elements, uncorrected (eV/f.u.): -8.56
Density (g/cm³): 4.18
SG: R-3m (166)

Lattice parameters (Å, degrees): 5.5635 5.5635 5.5635 33.56 33.56 33.56
With the nearest neighbours (Å) after each atom.
Fractional positions:
Sc: 0.2470 0.2470 0.2470  3 C 2.24, 3 O 2.30
Sc: 0.7530 0.7530 0.7530  3 C 2.24, 3 O 2.30
C: 0.5000 0.5000 0.5000  6 Sc 2.24
O: 0.0000 0.0000 0.0000  6 Sc 2.30